First-principles (PBE) data for an optimized crystal structure of Na3Sc2TcO6, as listed in Alexandria via LeMat-Bulk.

Results
Uncorrected formation energy (eV per atom): -2.297

a b c (Å): 5.4172 5.4172 5.7802
angles (deg): 98.84 98.84 119.26
Site moments in Bohr magnetons follow the coordinates.
Atoms (fractional coordinates):
Sc: 0.6725 0.3275 0.0000  0.00
O: 0.2583 0.2583 0.7993  0.07
Tc: 0.0000 0.0000 0.0000  1.59
O: 0.4098 0.0747 0.2124  0.02
Sc: 0.3275 0.6725 0.0000  0.00
O: 0.9253 0.5902 0.7876  0.02
Na: 0.8362 0.1638 0.5000  0.00
O: 0.0747 0.4098 0.2124  0.02
O: 0.7417 0.7417 0.2007  0.07
Na: 0.1638 0.8362 0.5000  0.00
O: 0.5902 0.9253 0.7876  0.02
Na: 0.5000 0.5000 0.5000  0.00

***

First-principles (PBE) data for an optimized crystal structure of Ta2OF2, as listed in Alexandria via LeMat-Bulk.

Results
Uncorrected formation energy (eV per atom): -0.796

a b c (Å): 3.8610 3.8610 5.3023
angles (deg): 90.00 90.00 90.00
Atoms (fractional coordinates):
Ta: 0.0000 0.0000 0.5000
F: 0.5000 0.0000 0.0000
F: 0.0000 0.5000 0.0000
O: 0.5000 0.5000 0.5000
Ta: 0.0000 0.0000 0.0000

***

First-principles (PBE) data for an optimized crystal structure of Ca3BeTl, as listed in Alexandria via LeMat-Bulk.

Results
ΔH_f (0 K) (eV/atom): 0.56
Energy relative to the lowest polymorph listed for this composition (eV per formula unit): 1.830

a b c (Å): 5.9388 5.9388 5.9388
angles (deg): 90.00 90.00 90.00
Atoms (fractional coordinates):
Tl: 0.0000 0.0000 0.0000
Ca: 0.0000 0.5000 0.0000
Be: 0.5000 0.5000 0.5000
Ca: 0.0000 0.0000 0.5000
Ca: 0.5000 0.0000 0.0000

***

Values for electronic total energy, eV for the cell shown, ordered as above
-84.30; -36.39; -9.31